First-principles (PBE) data for a relaxed structure of Mn3HgP, as listed in Alexandria via LeMat-Bulk.

Results
energy of formation from the pure elements	0.19	eV/atom
energy above the most stable polymorph in this dataset	0.0	meV/atom

Unit cell a=4.4118 b=4.4118 c=4.4118 alpha=90.00 beta=90.00 gamma=90.00
With the nearest neighbours (Å) after each atom.
Fractional coordinates of all 5 atoms:
1 Mn 0.0000 0.0000 0.5000  2 P 2.21
2 Mn 0.0000 0.5000 0.0000  2 P 2.21
3 Mn 0.5000 0.0000 0.0000  2 P 2.21
4 Hg 0.5000 0.5000 0.5000  12 Mn 3.12
5 P 0.0000 0.0000 0.0000  6 Mn 2.21

First-principles (PBE) data for a relaxed structure of LaPr2Ir2, as listed in Alexandria via LeMat-Bulk.

Results
energy of formation from the pure elements	-0.58	eV/atom
energy above the most stable polymorph in this dataset	31.5	meV/atom

Unit cell a=7.0947 b=7.0947 c=10.0919 alpha=90.00 beta=90.00 gamma=146.62
With the nearest neighbours (Å) after each atom.
Fractional coordinates of all 10 atoms:
1 La 0.0971 0.9029 0.7500  4 Ir 2.85-2.89
2 La 0.9029 0.0971 0.2500  4 Ir 2.85-2.89
3 Pr 0.3558 0.6442 0.5659  4 Ir 2.90-3.13
4 Pr 0.3558 0.6442 0.9341  4 Ir 2.90-3.13
5 Pr 0.6442 0.3558 0.0659  4 Ir 2.90-3.13
6 Pr 0.6442 0.3558 0.4341  4 Ir 2.90-3.13
7 Ir 0.0000 0.0000 0.0000  2 La 2.85, 4 Pr 2.90
8 Ir 0.0000 0.0000 0.5000  2 La 2.85, 4 Pr 2.90
9 Ir 0.2525 0.7475 0.2500  2 La 2.89, 4 Pr 3.13
10 Ir 0.7475 0.2525 0.7500  2 La 2.89, 4 Pr 3.13

First-principles (PBE) data for a relaxed structure of Na3MnPd, as listed in Alexandria via LeMat-Bulk.

Results
energy of formation from the pure elements	1.00	eV/atom
energy above the most stable polymorph in this dataset	392.0	meV/atom

Unit cell a=5.4938 b=5.4938 c=5.4938 alpha=90.00 beta=90.00 gamma=90.00
With the nearest neighbours (Å) after each atom.
Fractional coordinates of all 5 atoms:
1 Na 0.0000 0.0000 0.5000  2 Mn 2.75
2 Na 0.0000 0.5000 0.0000  2 Mn 2.75
3 Na 0.5000 0.0000 0.0000  2 Mn 2.75
4 Mn 0.0000 0.0000 0.0000  6 Na 2.75
5 Pd 0.5000 0.5000 0.5000  12 Na 3.88

First-principles (PBE) data for a relaxed structure of ScHI3, as listed in Alexandria via LeMat-Bulk.

Results
energy above the most stable polymorph in this dataset	833.2	meV/atom

Unit cell a=5.1062 b=5.1062 c=5.1062 alpha=90.00 beta=90.00 gamma=90.00
With the nearest neighbours (Å) after each atom.
Fractional coordinates of all 5 atoms:
1 Sc 0.0000 0.0000 0.0000  12 I 3.61
2 H 0.5000 0.5000 0.5000  6 I 2.55
3 I 0.0000 0.5000 0.5000  2 H 2.55
4 I 0.5000 0.0000 0.5000  2 H 2.55
5 I 0.5000 0.5000 0.0000  2 H 2.55

First-principles (PBE) data for a relaxed structure of Zr3P5, as listed in Alexandria via LeMat-Bulk.

Results
energy of formation from the pure elements	-0.76	eV/atom
energy above the most stable polymorph in this dataset	15.8	meV/atom

Unit cell a=8.1012 b=8.1012 c=5.0896 alpha=90.00 beta=90.00 gamma=120.00
With the nearest neighbours (Å) after each atom.
Fractional coordinates of all 16 atoms:
1 Zr 0.0000 0.3698 0.2500  9 P 2.66-2.89
2 Zr 0.0000 0.6302 0.7500  9 P 2.66-2.89
3 Zr 0.3698 0.0000 0.2500  9 P 2.66-2.89
4 Zr 0.3698 0.3698 0.7500  9 P 2.66-2.89
5 Zr 0.6302 0.0000 0.7500  9 P 2.66-2.89
6 Zr 0.6302 0.6302 0.2500  9 P 2.66-2.89
7 P 0.0000 0.2732 0.7500  5 Zr 2.66-2.89
8 P 0.0000 0.7268 0.2500  5 Zr 2.66-2.89
9 P 0.2732 0.0000 0.7500  5 Zr 2.66-2.89
10 P 0.2732 0.2732 0.2500  5 Zr 2.66-2.89
11 P 0.3333 0.6667 0.0000  2 P 2.54
12 P 0.3333 0.6667 0.5000  2 P 2.54
13 P 0.6667 0.3333 0.0000  2 P 2.54
14 P 0.6667 0.3333 0.5000  2 P 2.54
15 P 0.7268 0.0000 0.2500  5 Zr 2.66-2.89
16 P 0.7268 0.7268 0.7500  5 Zr 2.66-2.89

First-principles (PBE) data for a relaxed structure of ZrCoNi2, as listed in Alexandria via LeMat-Bulk.

Results
energy of formation from the pure elements	-0.12	eV/atom

Unit cell a=4.2524 b=4.2524 c=4.2524 alpha=60.00 beta=60.00 gamma=60.00
With the nearest neighbours (Å) after each atom.
Fractional coordinates of all 4 atoms:
1 Zr 0.0000 0.0000 0.0000  8 Ni 2.60
2 Co 0.5000 0.5000 0.5000  8 Ni 2.60
3 Ni 0.2500 0.2500 0.2500  4 Co 2.60, 4 Zr 2.60
4 Ni 0.7500 0.7500 0.7500  4 Co 2.60, 4 Zr 2.60

First-principles (PBE) data for a relaxed structure of Pa2SiGeRu6, as listed in Alexandria via LeMat-Bulk.

Results
ΔE_f (raw)	-43	kJ per mole of atoms

Unit cell a=5.5375 b=6.1524 c=6.2636 alpha=81.98 beta=63.96 gamma=63.28
With the nearest neighbours (Å) after each atom.
Fractional coordinates of all 10 atoms:
1 Pa 0.2453 0.2645 0.2426  3 Ru 2.43-2.71
2 Pa 0.7547 0.7355 0.7574  3 Ru 2.43-2.71
3 Si 0.5000 0.5000 0.5000  6 Ru 2.46-2.52
4 Ge 0.0000 0.0000 0.0000  6 Ru 2.55-2.61
5 Ru 0.1891 0.3185 0.8053  1 Si 2.47, 1 Ge 2.55, 1 Pa 2.71, 3 Ru 2.74-2.77
6 Ru 0.2531 0.9606 0.5359  1 Pa 2.43, 1 Si 2.52, 1 Ge 2.61
7 Ru 0.3115 0.6784 0.1953  1 Si 2.46, 1 Ge 2.55, 1 Pa 2.69, 1 Ru 2.76
8 Ru 0.6885 0.3216 0.8047  1 Si 2.46, 1 Ge 2.55, 1 Pa 2.69, 1 Ru 2.76
9 Ru 0.7469 0.0394 0.4641  1 Pa 2.43, 1 Si 2.52, 1 Ge 2.61
10 Ru 0.8109 0.6815 0.1947  1 Si 2.47, 1 Ge 2.55, 1 Pa 2.71, 3 Ru 2.74-2.77

First-principles (PBE) data for a relaxed structure of PuMn2GeN, as listed in Alexandria via LeMat-Bulk.

Results
ΔE_f (raw)	-51	kJ per mole of atoms

Unit cell a=5.7705 b=5.7705 c=7.1412 alpha=90.00 beta=90.00 gamma=143.23
With the nearest neighbours (Å) after each atom.
Fractional coordinates of all 10 atoms:
1 Pu 0.0370 0.9630 0.7500  4 N 2.58
2 Pu 0.9630 0.0370 0.2500  4 N 2.58
3 Mn 0.3342 0.6658 0.5563  1 N 1.86
4 Mn 0.3342 0.6658 0.9437  1 N 1.86
5 Mn 0.6658 0.3342 0.0563  1 N 1.86
6 Mn 0.6658 0.3342 0.4437  1 N 1.86
7 Ge 0.2381 0.7619 0.2500  6 Mn 2.42-2.43
8 Ge 0.7619 0.2381 0.7500  6 Mn 2.42-2.43
9 N 0.5000 0.5000 0.0000  2 Mn 1.86
10 N 0.5000 0.5000 0.5000  2 Mn 1.86

First-principles (PBE) data for a relaxed structure of GaTe2WI, as listed in Alexandria via LeMat-Bulk.

Results
energy above the most stable polymorph in this dataset	837.4	meV/atom
ΔE_f (raw)	128	kJ per mole of atoms

Unit cell a=5.4165 b=5.4165 c=5.2796 alpha=90.00 beta=90.00 gamma=90.00
With the nearest neighbours (Å) after each atom.
Fractional coordinates of all 5 atoms:
1 Ga 0.0000 0.0000 0.0000  2 I 2.64, 4 Te 2.71
2 Te 0.0000 0.5000 0.0000  2 Ga 2.71
3 Te 0.5000 0.0000 0.0000  2 Ga 2.71
4 W 0.5000 0.5000 0.5000  8 Te 3.78, 4 I 3.83
5 I 0.0000 0.0000 0.5000  2 Ga 2.64

First-principles (PBE) data for a relaxed structure of CuPb2, as listed in Alexandria via LeMat-Bulk.

Results
energy of formation from the pure elements	0.73	eV/atom

Unit cell a=6.3261 b=6.3261 c=6.3261 alpha=60.00 beta=60.00 gamma=60.00
With the nearest neighbours (Å) after each atom.
Fractional coordinates of all 6 atoms:
1 Cu 0.1250 0.1250 0.1250  12 Pb 3.71, 4 Cu 3.87
2 Cu 0.8750 0.8750 0.8750  12 Pb 3.71, 4 Cu 3.87
3 Pb 0.0000 0.5000 0.5000  6 Pb 3.16
4 Pb 0.5000 0.0000 0.5000  6 Pb 3.16
5 Pb 0.5000 0.5000 0.0000  6 Pb 3.16
6 Pb 0.5000 0.5000 0.5000  6 Pb 3.16

First-principles (PBE) data for a relaxed structure of Th3GaAs2Rh9, as listed in Alexandria via LeMat-Bulk.

Results
energy of formation from the pure elements	-0.49	eV/atom

Unit cell a=7.2471 b=7.2471 c=6.4705 alpha=90.00 beta=90.00 gamma=120.00
With the nearest neighbours (Å) after each atom.
Fractional coordinates of all 15 atoms:
1 Th 0.0000 0.0000 0.0000  6 Rh 3.05, 2 Ga 3.24
2 Th 0.3333 0.6667 0.6639  6 Rh 2.95-3.02, 2 As 3.21-3.26
3 Th 0.6667 0.3333 0.3361  6 Rh 2.95-3.02, 2 As 3.21-3.26
4 Ga 0.0000 0.0000 0.5000  6 Rh 2.38
5 As 0.3333 0.6667 0.1601  6 Rh 2.33-2.35
6 As 0.6667 0.3333 0.8399  6 Rh 2.33-2.35
7 Rh 0.0000 0.5000 0.0000  2 As 2.33
8 Rh 0.1698 0.3397 0.3365  1 As 2.35, 1 Ga 2.38
9 Rh 0.1698 0.8302 0.3365  1 As 2.35, 1 Ga 2.38
10 Rh 0.3397 0.1698 0.6635  1 As 2.35, 1 Ga 2.38
11 Rh 0.5000 0.0000 0.0000  2 As 2.33
12 Rh 0.5000 0.5000 0.0000  2 As 2.33
13 Rh 0.6603 0.8302 0.3365  1 As 2.35, 1 Ga 2.38
14 Rh 0.8302 0.1698 0.6635  1 As 2.35, 1 Ga 2.38
15 Rh 0.8302 0.6603 0.6635  1 As 2.35, 1 Ga 2.38

First-principles (PBE) data for a relaxed structure of CrMo2PC, as listed in Alexandria via LeMat-Bulk.

Results
energy of formation from the pure elements	2.09	eV/atom

Unit cell a=4.5040 b=4.5040 c=4.0764 alpha=90.00 beta=90.00 gamma=90.00
With the nearest neighbours (Å) after each atom.
Fractional coordinates of all 5 atoms:
1 Cr 0.0000 0.0000 0.0000  2 P 2.04, 4 Mo 2.25
2 Mo 0.0000 0.5000 0.0000  2 Cr 2.25
3 Mo 0.5000 0.0000 0.0000  2 Cr 2.25
4 P 0.0000 0.0000 0.5000  2 Cr 2.04
5 C 0.5000 0.5000 0.5000  8 Mo 3.04, 4 P 3.18

First-principles (PBE) data for a relaxed structure of LaDy2Zn, as listed in Alexandria via LeMat-Bulk.

Results
energy of formation from the pure elements	-0.04	eV/atom
energy above the most stable polymorph in this dataset	110.2	meV/atom

Unit cell a=10.6564 b=10.6564 c=10.6564 alpha=19.62 beta=19.62 gamma=19.62
With the nearest neighbours (Å) after each atom.
Fractional coordinates of all 4 atoms:
1 La 0.0000 0.0000 0.0000  6 La 3.63, 6 Dy 3.69-3.73
2 Dy 0.2365 0.2365 0.2365  3 Zn 3.00
3 Dy 0.4318 0.4318 0.4318  3 Zn 3.02
4 Zn 0.8345 0.8345 0.8345  6 Dy 3.00-3.02

First-principles (PBE) data for a relaxed structure of SrIn2Cu2Ge, as listed in Alexandria via LeMat-Bulk.

Results
energy of formation from the pure elements	-0.07	eV/atom

Unit cell a=4.7223 b=4.7223 c=6.3294 alpha=90.00 beta=90.00 gamma=90.00
With the nearest neighbours (Å) after each atom.
Fractional coordinates of all 6 atoms:
1 Sr 0.0000 0.0000 0.0000  2 Ge 3.16
2 In 0.5000 0.5000 0.2443  4 Cu 2.86, 1 In 3.09
3 In 0.5000 0.5000 0.7557  4 Cu 2.86, 1 In 3.09
4 Cu 0.0000 0.5000 0.5000  2 Ge 2.36
5 Cu 0.5000 0.0000 0.5000  2 Ge 2.36
6 Ge 0.0000 0.0000 0.5000  4 Cu 2.36

First-principles (PBE) data for a relaxed structure of SiSO2F, as listed in Alexandria via LeMat-Bulk.

Results
ΔE_f (raw)	-83	kJ per mole of atoms

Unit cell a=3.5875 b=3.5875 c=3.8251 alpha=90.00 beta=90.00 gamma=90.00
With the nearest neighbours (Å) after each atom.
Fractional coordinates of all 5 atoms:
1 Si 0.0000 0.0000 0.0000  4 O 1.79, 2 F 1.91
2 S 0.5000 0.5000 0.5000  4 F 2.54, 8 O 2.62
3 O 0.0000 0.5000 0.0000  2 Si 1.79
4 O 0.5000 0.0000 0.0000  2 Si 1.79
5 F 0.0000 0.0000 0.5000  2 Si 1.91

First-principles (PBE) data for a relaxed structure of LaMnS2, as listed in Alexandria via LeMat-Bulk.

Results
energy above the most stable polymorph in this dataset	332.3	meV/atom
ΔE_f (raw)	-56	kJ per mole of atoms

Unit cell a=4.6928 b=4.6928 c=4.6928 alpha=60.00 beta=60.00 gamma=60.00
With the nearest neighbours (Å) after each atom.
Fractional coordinates of all 4 atoms:
1 La 0.0000 0.0000 0.0000  8 S 2.87
2 Mn 0.5000 0.5000 0.5000  8 S 2.87
3 S 0.2500 0.2500 0.2500  4 Mn 2.87, 4 La 2.87
4 S 0.7500 0.7500 0.7500  4 Mn 2.87, 4 La 2.87

First-principles (PBE) data for a relaxed structure of UPd3Au2, as listed in Alexandria via LeMat-Bulk.

Results
energy of formation from the pure elements	-0.27	eV/atom
energy above the most stable polymorph in this dataset	0.0	meV/atom

Unit cell a=9.6682 b=8.9960 c=5.3392 alpha=80.44 beta=66.57 gamma=32.99
With the nearest neighbours (Å) after each atom.
Fractional coordinates of all 12 atoms:
1 U 0.1581 0.1581 0.8419  5 Pd 2.62-2.93
2 U 0.8419 0.8419 0.1581  5 Pd 2.62-2.93
3 Pd 0.1688 0.6686 0.3314  1 U 2.62, 4 Pd 2.73-2.82
4 Pd 0.3295 0.3295 0.6705  2 Pd 2.73, 3 U 2.83-2.93, 4 Au 3.00
5 Pd 0.3314 0.8312 0.1688  1 U 2.62, 4 Pd 2.73-2.82
6 Pd 0.6686 0.1688 0.8312  1 U 2.62, 4 Pd 2.73-2.82
7 Pd 0.6705 0.6705 0.3295  2 Pd 2.73, 3 U 2.83-2.93, 4 Au 3.00
8 Pd 0.8312 0.3314 0.6686  1 U 2.62, 4 Pd 2.73-2.82
9 Au 0.2500 0.2500 0.2500  2 Au 2.82, 4 Pd 3.00, 4 U 3.10
10 Au 0.2547 0.7453 0.7453  2 Au 2.77-2.88, 8 Pd 3.00-3.02, 2 U 3.06
11 Au 0.7453 0.2547 0.2547  2 Au 2.77-2.88, 8 Pd 3.00-3.02, 2 U 3.06
12 Au 0.7500 0.7500 0.7500  2 Au 2.82, 4 Pd 3.00, 4 U 3.10

First-principles (PBE) data for a relaxed structure of CdInAg2, as listed in Alexandria via LeMat-Bulk.

Results
energy of formation from the pure elements	-0.01	eV/atom

Unit cell a=3.2286 b=4.2371 c=5.9705 alpha=90.00 beta=90.00 gamma=90.00
With the nearest neighbours (Å) after each atom.
Fractional coordinates of all 4 atoms:
1 Cd 0.0000 0.0000 0.0000  6 Ag 2.88-3.09, 4 In 3.15
2 In 0.5000 0.5000 0.2808  6 Ag 2.91-3.06, 4 Cd 3.15, 2 In 3.23
3 Ag 0.0000 0.0000 0.5180  2 Cd 2.88-3.09, 4 In 3.02, 4 Ag 3.05
4 Ag 0.5000 0.5000 0.7684  2 In 2.91-3.06, 4 Cd 3.00, 6 Ag 3.05-3.23

First-principles (PBE) data for a relaxed structure of BeAgRh2, as listed in Alexandria via LeMat-Bulk.

Results
energy of formation from the pure elements	0.17	eV/atom

Unit cell a=4.1706 b=4.1706 c=3.1844 alpha=90.00 beta=90.00 gamma=90.00
With the nearest neighbours (Å) after each atom.
Fractional coordinates of all 4 atoms:
1 Be 0.0000 0.0000 0.0000  8 Rh 2.62
2 Ag 0.5000 0.5000 0.0000  8 Rh 2.62
3 Rh 0.0000 0.5000 0.5000  4 Ag 2.62, 4 Be 2.62
4 Rh 0.5000 0.0000 0.5000  4 Ag 2.62, 4 Be 2.62

First-principles (PBE) data for a relaxed structure of SmU2Se6, as listed in Alexandria via LeMat-Bulk.

Results
energy above the most stable polymorph in this dataset	103.3	meV/atom
ΔE_f (raw)	-114	kJ per mole of atoms

Unit cell a=7.5343 b=7.5343 c=9.3054 alpha=124.40 beta=124.40 gamma=42.22
With the nearest neighbours (Å) after each atom.
Fractional coordinates of all 9 atoms:
1 Sm 0.0000 0.0000 0.0000  8 Se 2.96-3.20
2 U 0.1826 0.1826 0.6048  6 Se 2.65-2.90
3 U 0.8174 0.8174 0.3952  6 Se 2.65-2.90
4 Se 0.0424 0.0424 0.7245  2 U 2.77-2.79, 1 Sm 2.96
5 Se 0.2611 0.2611 0.3793  3 U 2.81-2.90
6 Se 0.3695 0.3695 0.9502  1 U 2.65
7 Se 0.6305 0.6305 0.0498  1 U 2.65
8 Se 0.7389 0.7389 0.6207  3 U 2.81-2.90
9 Se 0.9576 0.9576 0.2755  2 U 2.77-2.79, 1 Sm 2.96